(1)
Crystalline BeOsN2O at its relaxed geometry, computed with GGA-PBE.

a = 3.4505 Å, b = 3.4505 Å, c = 3.4409 Å
α = 90.00°, β = 90.00°, γ = 90.00°
With the nearest neighbours (Å) after each atom.
Fractional positions:
O 0.0000 0.0000 0.5000  2 Be 1.72
Be 0.0000 0.0000 0.0000  2 O 1.72, 4 N 1.73
N 0.5000 0.0000 0.0000  2 Be 1.73
N 0.0000 0.5000 0.0000  2 Be 1.73
Os 0.5000 0.5000 0.5000  8 N 2.44, 4 O 2.44

Values from the calculation:
formation energy (no corrections) = 1.008 eV/atom
space group = P4/mmm, No. 123
VASP energy = -6.30 eV per atom
M_tot = 0.00 μB per formula unit
crystal system = tetragonal


(2)
Crystalline TbPtI at its relaxed geometry, computed with GGA-PBE.

a = 4.1905 Å, b = 4.1893 Å, c = 13.5088 Å
α = 71.76°, β = 89.97°, γ = 60.03°
With the nearest neighbours (Å) after each atom.
Fractional positions:
Tb 0.5276 0.6457 0.1961  4 Pt 2.89-2.91, 3 I 3.19
Tb 0.4248 0.8497 0.5402  3 Pt 2.81
I 0.0834 0.5342 0.0310  3 Tb 3.19
I 0.2027 0.2920 0.7070  3 Tb 3.20-3.21
Pt 0.9452 0.8106 0.3214  3 Pt 2.76, 3 Tb 2.89
Pt 0.6827 0.3348 0.4273  3 Pt 2.76, 4 Tb 2.81-2.91

Values from the calculation:
formation energy (no corrections) = -1.165 eV/atom
space group = P1, No. 1
VASP energy = -5.24 eV per atom
M_tot = 0.00 μB per formula unit
crystal system = triclinic


(3)
Crystalline BeAl2Ni at its relaxed geometry, computed with GGA-PBE.

a = 3.4317 Å, b = 3.7583 Å, c = 3.7583 Å
α = 90.00°, β = 90.00°, γ = 90.00°
With the nearest neighbours (Å) after each atom.
Fractional positions:
Al 0.0000 0.5000 0.0000  4 Be 2.54, 4 Ni 2.54, 4 Al 2.66
Al 0.0000 0.0000 0.5000  4 Ni 2.54, 4 Be 2.54, 4 Al 2.66
Be 0.5000 0.5000 0.5000  8 Al 2.54, 4 Ni 2.66
Ni 0.5000 0.0000 0.0000  8 Al 2.54, 4 Be 2.66

Values from the calculation:
space group = P4/mmm, No. 123
VASP energy = -4.47 eV per atom
M_tot = 0.00 μB per formula unit
crystal system = tetragonal
ΔH_f (0 K) = -0.9 eV/f.u.


(4)
Crystalline Na10B17C3 at its relaxed geometry, computed with GGA-PBE.

a = 11.8684 Å, b = 11.8684 Å, c = 10.2042 Å
α = 105.52°, β = 105.52°, γ = 13.68°
With the nearest neighbours (Å) after each atom.
Fractional positions:
B 0.9800 0.9800 0.7104  3 B 1.67-1.82
B 0.6847 0.6847 0.6194  3 B 1.66-1.76
B 0.4791 0.4791 0.2075  3 B 1.69-1.77
B 0.3745 0.3745 0.4996  1 C 1.55
B 0.7851 0.7851 0.3201  2 C 1.64, 1 B 1.76
B 0.9172 0.9172 0.5855  3 B 1.67-1.82
B 0.1791 0.1791 0.1075  1 C 1.59, 2 B 1.77
B 0.0816 0.0816 0.4118  3 B 1.66-1.79
B 0.2240 0.2240 0.6987  1 C 1.56
B 0.4154 0.4154 0.0816  3 B 1.69-1.74
B 0.6225 0.6225 0.4942  3 B 1.66-1.79
B 0.5885 0.5885 0.9262  2 C 1.64, 1 B 1.75
B 0.7192 0.7192 0.1876  3 B 1.76-1.77
B 0.8119 0.8119 0.8750  2 C 1.62, 1 B 1.74
B 0.0193 0.0193 0.2874  3 B 1.66-1.77
B 0.5228 0.5228 0.7955  3 B 1.75-1.82
B 0.8769 0.8769 0.0057  3 B 1.74
Na 0.7000 0.7000 0.9025  8 B 2.68-2.82, 4 C 2.69-2.74, 4 Na 2.83-3.00
Na 0.9998 0.9998 0.0001  11 B 2.70-2.91, 2 Na 2.83, 1 C 2.86
Na 0.5003 0.5003 0.4999  12 B 2.72-2.96, 4 Na 2.83-3.04
Na 0.8993 0.8993 0.2959  10 B 2.70-2.87, 2 C 2.75, 4 Na 2.83-3.00
Na 0.1010 0.1010 0.7017  11 B 2.70-2.91, 4 Na 2.83-3.01, 1 C 2.84
Na 0.6005 0.6005 0.1994  10 B 2.69-2.91, 2 C 2.71, 2 Na 2.83
Na 0.7994 0.7994 0.5995  8 B 2.67-2.82, 4 C 2.74, 2 Na 2.83
Na 0.2006 0.2006 0.3988  11 B 2.70-2.96, 1 C 2.78, 6 Na 2.83-3.02
Na 0.2991 0.2991 0.1004  10 B 2.69-2.85, 2 C 2.80-2.83, 6 Na 2.83-3.00
Na 0.3996 0.3996 0.8007  11 B 2.70-2.97, 1 C 2.80, 2 Na 2.83
C 0.3164 0.3164 0.3833  3 B 1.55-1.64
C 0.2825 0.2825 0.8157  3 B 1.56-1.62
C 0.1195 0.1195 0.9881  3 B 1.59-1.64

Values from the calculation:
space group = Cm, No. 8
VASP energy = -4.94 eV per atom
M_tot = 0.00 μB per formula unit
crystal system = monoclinic
excess energy over the best structure of this formula in the dataset = 0.005 eV per atom
ΔH_f (0 K) = 6.3 eV/f.u.


(5)
Crystalline Pb4SeF6 at its relaxed geometry, computed with GGA-PBE.

a = 3.8815 Å, b = 7.7170 Å, c = 7.7170 Å
α = 120.00°, β = 90.00°, γ = 90.00°
With the nearest neighbours (Å) after each atom.
Fractional positions:
F 0.5000 0.2017 0.4035  4 Pb 2.53-2.62
F 0.5000 0.5965 0.7983  4 Pb 2.53-2.62
F 0.0000 0.5333 0.0666  5 Pb 2.67-2.77
F 0.5000 0.2017 0.7983  4 Pb 2.53-2.62
F 0.0000 0.9334 0.4667  5 Pb 2.67-2.77
F 0.0000 0.5333 0.4667  5 Pb 2.67-2.77
Pb 0.5000 0.8263 0.1737  6 F 2.53-2.77
Pb 0.5000 0.8263 0.6526  6 F 2.53-2.77
Pb 0.5000 0.3474 0.1737  6 F 2.53-2.77
Pb 0.0000 0.3333 0.6667  9 F 2.62-2.67
Se 0.0000 0.0000 0.0000  6 Pb 3.03, 6 F 3.32

Values from the calculation:
formation energy (no corrections) = -2.001 eV/atom
space group = P-6m2, No. 187
VASP energy = -4.69 eV per atom
M_tot = 0.00 μB per formula unit
crystal system = hexagonal


(6)
Crystalline Tb2Pr2DyY4 at its relaxed geometry, computed with GGA-PBE.

a = 3.6306 Å, b = 9.5886 Å, c = 9.6427 Å
α = 115.20°, β = 90.00°, γ = 100.91°
With the nearest neighbours (Å) after each atom.
Fractional positions:
Y 0.4805 0.9611 0.6650  4 Tb 3.54-3.64, 5 Y 3.56-3.63, 1 Pr 3.56, 2 Dy 3.58
Y 0.1855 0.3711 0.3353  3 Tb 3.53-3.62, 6 Y 3.55-3.63, 1 Dy 3.59, 2 Pr 3.60
Y 0.8145 0.6289 0.6647  3 Tb 3.53-3.62, 6 Y 3.55-3.63, 1 Dy 3.59, 2 Pr 3.60
Y 0.5195 0.0389 0.3350  4 Tb 3.54-3.64, 5 Y 3.56-3.63, 1 Pr 3.56, 2 Dy 3.58
Tb 0.1475 0.2949 0.6630  7 Y 3.53-3.64, 3 Pr 3.59-3.63, 2 Tb 3.63
Tb 0.8525 0.7051 0.3370  7 Y 3.53-3.64, 3 Pr 3.59-3.63, 2 Tb 3.63
Pr 0.6651 0.3302 0.9978  3 Y 3.56-3.60, 3 Tb 3.59-3.63, 2 Dy 3.61, 4 Pr 3.63-3.66
Pr 0.3349 0.6698 0.0022  3 Y 3.56-3.60, 3 Tb 3.59-3.63, 2 Dy 3.61, 4 Pr 3.63-3.66
Dy 0.0000 0.0000 0.0000  6 Y 3.58-3.59, 4 Pr 3.61, 2 Dy 3.63

Values from the calculation:
space group = C2/m, No. 12
VASP energy = -5.48 eV per atom
M_tot = 0.00 μB per formula unit
crystal system = monoclinic
ΔH_f (0 K) = 0.0 eV/f.u.


(7)
Crystalline TaNbCoTc at its relaxed geometry, computed with GGA-PBE.

a = 4.4489 Å, b = 4.4489 Å, c = 4.4489 Å
α = 60.00°, β = 60.00°, γ = 60.00°
With the nearest neighbours (Å) after each atom.
Fractional positions:
Ta 0.0000 0.0000 0.0000  4 Tc 2.72, 4 Co 2.72
Tc 0.7500 0.7500 0.7500  4 Ta 2.72, 4 Nb 2.72
Nb 0.5000 0.5000 0.5000  4 Co 2.72, 4 Tc 2.72
Co 0.2500 0.2500 0.2500  4 Ta 2.72, 4 Nb 2.72

Values from the calculation:
space group = F-43m, No. 216
VASP energy = -10.05 eV per atom
M_tot = 1.61 μB per formula unit
crystal system = cubic
ΔH_f (0 K) = -0.8 eV/f.u.


(8)
Crystalline CsNa2BPd at its relaxed geometry, computed with GGA-PBE.

a = 5.1889 Å, b = 5.9900 Å, c = 5.1889 Å
α = 90.00°, β = 90.00°, γ = 90.00°
With the nearest neighbours (Å) after each atom.
Fractional positions:
Na 0.0000 0.0000 0.5000  2 B 2.59
Na 0.5000 0.0000 0.0000  2 B 2.59
B 0.0000 0.0000 0.0000  4 Na 2.59
Cs 0.0000 0.5000 0.0000  2 B 2.99
Pd 0.5000 0.5000 0.5000  4 Cs 3.67, 8 Na 3.96

Values from the calculation:
space group = P4/mmm, No. 123
VASP energy = -2.09 eV per atom
M_tot = 1.64 μB per formula unit
crystal system = tetragonal
ΔH_f (0 K) = 4.9 eV/f.u.